In4TeRh | PBE-GGA | relaxed

Lattice parameters (Å, degrees): 6.0123 6.0123 6.0123 60.00 60.00 60.00
With the nearest neighbours (Å) after each atom.
Element x y z (fractional)
In 0.8733 0.3756 0.3756  6 In 2.99-3.02
In 0.3756 0.3756 0.8733  6 In 2.99-3.02
In 0.3756 0.8733 0.3756  6 In 2.99-3.02
In 0.3756 0.3756 0.3756  6 In 2.99-3.02
Te 0.0000 0.0000 0.0000  12 In 3.53, 4 Rh 3.68
Rh 0.7500 0.7500 0.7500  12 In 3.52, 4 Te 3.68

## Properties
- SG = F-43m, No. 216
- total magnetic moment (μB/f.u.) = 0.0
- uncorrected formation energy (meV/atom) = 439.2
- mass density (g/cm³) = 7.5
- E_tot (eV/cell) = -18.81